Density functional theory data (GGA+U) for NpMnCd2O8 after structural relaxation.

```
12
Lattice="-1.874 2.103 4.170 -3.571 -3.534 -0.094 3.694 -3.828 3.591" Properties=species:S:1:pos:R:3 pbc="T T T"
Np 0.000 0.000 0.000
Mn 1.847 -1.914 1.796
Cd 0.002 -3.538 4.687
Cd -1.753 -1.720 2.981
O -2.321 -3.553 1.565
O -0.218 -4.859 6.516
O -1.214 0.144 4.368
O 0.570 -1.705 6.103
O -1.533 -0.400 1.151
O -0.537 -5.402 3.300
O -2.146 -2.965 4.783
O 0.395 -2.293 2.885
```

Summary:
space group = No. 65
size of the total moment = 1.99 μB/f.u.
theoretical density = 6.604 g/cm³
uncorrected energy = -79.81 eV for the cell shown